{
  "formula": "LiAlC",
  "functional": "PBE-GGA",
  "state": "optimized geometry",
  "cell": [[8.7564, 0.0000, 0.0000], [0.0000, 3.2092, 0.0000], [-4.0564, 0.0000, 4.6727]],
  "species": ["Li", "Li", "Li", "Li", "Al", "Al", "Al", "Al", "C", "C", "C", "C"],
  "fractional_positions": [[0.0743, 0.0000, 0.2794], [0.4257, 0.5000, 0.7206], [0.5743, 0.5000, 0.2794], [0.9257, 0.0000, 0.7206], [0.1813, 0.5000, 0.7744], [0.3187, 0.0000, 0.2256], [0.6813, 0.0000, 0.7744], [0.8187, 0.5000, 0.2256], [0.1060, 0.5000, 0.0446], [0.3940, 0.0000, 0.9554], [0.6060, 0.0000, 0.0446], [0.8940, 0.5000, 0.9554]],
  "total_magnetization_mub_per_fu": 0.00,
  "e_tot_ha_per_atom": -0.1746,
  "formation_enthalpy_0k_mev_per_atom": 210,
  "vol_a3_per_cell": 131,
  "space_group": "No. 12"
}